1.
The following is a PBE-GGA calculation of a relaxed RuRh2Au crystal, from the Alexandria database.

- E_form (eV/f.u.) = 1.4

Structure (CIF):
```
data_RuRh2Au
_space_group_name_H-M_alt 'P 1'
_space_group_IT_number 1
_cell_length_a 2.724
_cell_length_b 2.724
_cell_length_c 9.536
_cell_angle_alpha 90.00
_cell_angle_beta 90.00
_cell_angle_gamma 119.29
loop_
_space_group_symop_operation_xyz
'x,y,z'
loop_
_atom_site_label
_atom_site_type_symbol
_atom_site_fract_x
_atom_site_fract_y
_atom_site_fract_z
Au1 Au 0.500 0.500 0.750
Rh1 Rh 0.500 0.500 0.252
Rh2 Rh 0.000 0.000 0.011
Ru1 Ru 0.000 0.000 0.487
```



2.
The following is a PBE-GGA calculation of a relaxed ZnSb2Pb crystal, from the Alexandria database.

- uncorrected energy (eV per atom) = -3.167

Structure (CIF):
```
data_ZnSb2Pb
_space_group_name_H-M_alt 'P 1'
_space_group_IT_number 1
_cell_length_a 3.372
_cell_length_b 3.372
_cell_length_c 9.478
_cell_angle_alpha 90.00
_cell_angle_beta 90.00
_cell_angle_gamma 104.25
loop_
_space_group_symop_operation_xyz
'x,y,z'
loop_
_atom_site_label
_atom_site_type_symbol
_atom_site_fract_x
_atom_site_fract_y
_atom_site_fract_z
Sb1 Sb 0.000 0.000 0.460
Zn1 Zn 0.500 0.500 0.250
Pb1 Pb 0.500 0.500 0.750
Sb2 Sb 0.000 0.000 0.040
```



3.
The following is a PBE-GGA calculation of a relaxed Ac2Pd5Au4 crystal, from the Alexandria database.

- E_form (eV/f.u.) = -6.5

Structure (CIF):
```
data_Ac2Pd5Au4
_space_group_name_H-M_alt 'P 1'
_space_group_IT_number 1
_cell_length_a 5.707
_cell_length_b 5.561
_cell_length_c 9.282
_cell_angle_alpha 80.92
_cell_angle_beta 72.10
_cell_angle_gamma 59.12
loop_
_space_group_symop_operation_xyz
'x,y,z'
loop_
_atom_site_label
_atom_site_type_symbol
_atom_site_fract_x
_atom_site_fract_y
_atom_site_fract_z
Au1 Au 0.533 0.678 0.256
Au2 Au 0.789 0.678 0.744
Pd1 Pd 0.750 0.500 0.500
Pd2 Pd 0.000 0.500 0.000
Pd3 Pd 0.500 0.000 0.000
Ac1 Ac 0.130 0.000 0.740
Au3 Au 0.211 0.322 0.256
Ac2 Ac 0.870 0.000 0.260
Pd4 Pd 0.250 0.500 0.500
Pd5 Pd 0.500 0.500 0.000
Au4 Au 0.467 0.322 0.744
```



4.
The following is a PBE-GGA calculation of a relaxed SmPaRu crystal, from the Alexandria database.

- E_form (eV/f.u.) = 0.1

Structure (CIF):
```
data_SmPaRu
_space_group_name_H-M_alt 'P 1'
_space_group_IT_number 1
_cell_length_a 4.789
_cell_length_b 4.789
_cell_length_c 4.789
_cell_angle_alpha 60.00
_cell_angle_beta 60.00
_cell_angle_gamma 60.00
loop_
_space_group_symop_operation_xyz
'x,y,z'
loop_
_atom_site_label
_atom_site_type_symbol
_atom_site_fract_x
_atom_site_fract_y
_atom_site_fract_z
Ru1 Ru 0.250 0.250 0.250
Pa1 Pa 0.000 0.000 0.000
Sm1 Sm 0.500 0.500 0.500
```



5.
The following is a PBE-GGA calculation of a relaxed Sm5HoTe6 crystal, from the Alexandria database.

- uncorrected energy (eV per atom) = -5.281

Structure (CIF):
```
data_Sm5HoTe6
_space_group_name_H-M_alt 'P 1'
_space_group_IT_number 1
_cell_length_a 7.652
_cell_length_b 7.664
_cell_length_c 7.678
_cell_angle_alpha 60.06
_cell_angle_beta 80.40
_cell_angle_gamma 70.48
loop_
_space_group_symop_operation_xyz
'x,y,z'
loop_
_atom_site_label
_atom_site_type_symbol
_atom_site_fract_x
_atom_site_fract_y
_atom_site_fract_z
Sm1 Sm 0.500 0.173 0.653
Te1 Te 0.750 0.757 0.000
Te2 Te 0.250 0.243 0.000
Te3 Te 0.755 0.082 0.326
Sm2 Sm 0.000 0.668 0.664
Sm3 Sm 0.000 0.332 0.336
Sm4 Sm 0.500 0.500 0.000
Te4 Te 0.755 0.408 0.674
Te5 Te 0.245 0.918 0.674
Sm5 Sm 0.500 0.827 0.347
Te6 Te 0.245 0.592 0.326
Ho1 Ho 0.000 0.000 0.000
```



6.
The following is a PBE-GGA calculation of a relaxed Ca3In2Ga crystal, from the Alexandria database.

- E_form (eV/f.u.) = -2.7

Structure (CIF):
```
data_Ca3In2Ga
_space_group_name_H-M_alt 'P 1'
_space_group_IT_number 1
_cell_length_a 5.370
_cell_length_b 5.370
_cell_length_c 6.591
_cell_angle_alpha 90.00
_cell_angle_beta 90.00
_cell_angle_gamma 120.00
loop_
_space_group_symop_operation_xyz
'x,y,z'
loop_
_atom_site_label
_atom_site_type_symbol
_atom_site_fract_x
_atom_site_fract_y
_atom_site_fract_z
In1 In 0.667 0.333 0.340
Ca1 Ca 0.000 0.000 0.500
In2 In 0.333 0.667 0.660
Ga1 Ga 0.000 0.000 0.000
Ca2 Ca 0.667 0.333 0.844
Ca3 Ca 0.333 0.667 0.156
```



7.
The following is a PBE-GGA calculation of a relaxed Np2Sn5Pd3 crystal, from the Alexandria database.

- E_form (eV/f.u.) = -3.3

Structure (CIF):
```
data_Np2Sn5Pd3
_space_group_name_H-M_alt 'P 1'
_space_group_IT_number 1
_cell_length_a 4.592
_cell_length_b 7.264
_cell_length_c 13.614
_cell_angle_alpha 90.00
_cell_angle_beta 99.71
_cell_angle_gamma 90.00
loop_
_space_group_symop_operation_xyz
'x,y,z'
loop_
_atom_site_label
_atom_site_type_symbol
_atom_site_fract_x
_atom_site_fract_y
_atom_site_fract_z
Sn1 Sn 0.289 0.514 0.578
Pd1 Pd 0.780 0.724 0.560
Sn2 Sn 0.294 0.945 0.589
Sn3 Sn 0.711 0.014 0.422
Sn4 Sn 0.119 0.255 0.238
Pd2 Pd 0.605 0.504 0.210
Pd3 Pd 0.395 0.004 0.790
Np1 Np 0.478 0.748 0.956
Sn5 Sn 0.597 0.884 0.195
Sn6 Sn 0.881 0.755 0.762
Pd4 Pd 0.949 0.471 0.898
Np2 Np 0.522 0.248 0.044
Sn7 Sn 0.706 0.445 0.411
Pd5 Pd 0.220 0.224 0.440
Pd6 Pd 0.051 0.971 0.102
Sn8 Sn 0.403 0.384 0.805
Sn9 Sn 0.952 0.083 0.905
Np3 Np 0.827 0.236 0.655
Np4 Np 0.173 0.736 0.345
Sn10 Sn 0.048 0.583 0.095
```



8.
The following is a PBE-GGA calculation of a relaxed ErSnP2O8 crystal, from the Alexandria database.

- uncorrected energy (eV per atom) = -7.141

Structure (CIF):
```
data_ErSnP2O8
_space_group_name_H-M_alt 'P 1'
_space_group_IT_number 1
_cell_length_a 4.972
_cell_length_b 4.972
_cell_length_c 7.863
_cell_angle_alpha 71.57
_cell_angle_beta 71.57
_cell_angle_gamma 60.00
loop_
_space_group_symop_operation_xyz
'x,y,z'
loop_
_atom_site_label
_atom_site_type_symbol
_atom_site_fract_x
_atom_site_fract_y
_atom_site_fract_z
O1 O 0.028 0.437 0.812
O2 O 0.563 0.277 0.188
P1 P 0.249 0.249 0.254
Sn1 Sn 0.500 0.500 0.500
O3 O 0.437 0.723 0.812
O4 O 0.822 0.822 0.533
O5 O 0.277 0.972 0.188
O6 O 0.723 0.028 0.812
O7 O 0.178 0.178 0.467
O8 O 0.972 0.563 0.188
P2 P 0.751 0.751 0.746
Er1 Er 0.000 0.000 0.000
```



9.
The following is a PBE-GGA calculation of a relaxed PuSc3Rh4 crystal, from the Alexandria database.

- E_form (eV/f.u.) = -6.7

Structure (CIF):
```
data_PuSc3Rh4
_space_group_name_H-M_alt 'P 1'
_space_group_IT_number 1
_cell_length_a 3.210
_cell_length_b 4.672
_cell_length_c 9.458
_cell_angle_alpha 90.00
_cell_angle_beta 90.00
_cell_angle_gamma 90.00
loop_
_space_group_symop_operation_xyz
'x,y,z'
loop_
_atom_site_label
_atom_site_type_symbol
_atom_site_fract_x
_atom_site_fract_y
_atom_site_fract_z
Sc1 Sc 0.500 0.000 0.743
Sc2 Sc 0.500 0.500 0.500
Rh1 Rh 0.000 0.000 0.000
Rh2 Rh 0.000 0.500 0.264
Rh3 Rh 0.000 0.500 0.736
Sc3 Sc 0.500 0.000 0.257
Rh4 Rh 0.000 0.000 0.500
Pu1 Pu 0.500 0.500 0.000
```



10.
The following is a PBE-GGA calculation of a relaxed PHIrO2 crystal, from the Alexandria database.

- uncorrected energy (eV per atom) = -5.186

Structure (CIF):
```
data_PHIrO2
_space_group_name_H-M_alt 'P 1'
_space_group_IT_number 1
_cell_length_a 3.698
_cell_length_b 3.698
_cell_length_c 5.170
_cell_angle_alpha 90.00
_cell_angle_beta 90.00
_cell_angle_gamma 90.00
loop_
_space_group_symop_operation_xyz
'x,y,z'
loop_
_atom_site_label
_atom_site_type_symbol
_atom_site_fract_x
_atom_site_fract_y
_atom_site_fract_z
P1 P 0.000 0.000 0.500
Ir1 Ir 0.000 0.000 0.000
O1 O 0.000 0.500 0.000
O2 O 0.500 0.000 0.000
H1 H 0.500 0.500 0.500
```



11.
The following is a PBE-GGA calculation of a relaxed HgBRuN crystal, from the Alexandria database.

- uncorrected energy (eV per atom) = -5.487

Structure (CIF):
```
data_HgBRuN
_space_group_name_H-M_alt 'P 1'
_space_group_IT_number 1
_cell_length_a 3.327
_cell_length_b 3.249
_cell_length_c 6.341
_cell_angle_alpha 90.00
_cell_angle_beta 104.37
_cell_angle_gamma 90.00
loop_
_space_group_symop_operation_xyz
'x,y,z'
loop_
_atom_site_label
_atom_site_type_symbol
_atom_site_fract_x
_atom_site_fract_y
_atom_site_fract_z
B1 B 0.503 0.000 0.051
Hg1 Hg 0.636 0.500 0.320
N1 N 0.842 0.500 0.708
Ru1 Ru 0.911 0.000 0.855
```



12.
The following is a PBE-GGA calculation of a relaxed PmPr7Rh2 crystal, from the Alexandria database.

- E_form (eV/f.u.) = -0.7

Structure (CIF):
```
data_PmPr7Rh2
_space_group_name_H-M_alt 'P 1'
_space_group_IT_number 1
_cell_length_a 5.480
_cell_length_b 8.643
_cell_length_c 8.643
_cell_angle_alpha 117.14
_cell_angle_beta 90.00
_cell_angle_gamma 90.00
loop_
_space_group_symop_operation_xyz
'x,y,z'
loop_
_atom_site_label
_atom_site_type_symbol
_atom_site_fract_x
_atom_site_fract_y
_atom_site_fract_z
Pr1 Pr 0.500 0.500 0.500
Pr2 Pr 0.500 0.945 0.679
Pm1 Pm 0.000 0.000 0.000
Pr3 Pr 0.000 0.290 0.710
Pr4 Pr 0.500 0.320 0.055
Pr5 Pr 0.500 0.680 0.945
Pr6 Pr 0.500 0.055 0.321
Rh1 Rh 0.500 0.697 0.303
Pr7 Pr 0.000 0.710 0.290
Rh2 Rh 0.500 0.303 0.697
```



13.
The following is a PBE-GGA calculation of a relaxed LaMoS2Cl crystal, from the Alexandria database.

- uncorrected energy (eV per atom) = -6.060

Structure (CIF):
```
data_LaMoS2Cl
_space_group_name_H-M_alt 'P 1'
_space_group_IT_number 1
_cell_length_a 4.759
_cell_length_b 4.759
_cell_length_c 4.774
_cell_angle_alpha 90.00
_cell_angle_beta 90.00
_cell_angle_gamma 90.00
loop_
_space_group_symop_operation_xyz
'x,y,z'
loop_
_atom_site_label
_atom_site_type_symbol
_atom_site_fract_x
_atom_site_fract_y
_atom_site_fract_z
Cl1 Cl 0.000 0.000 0.500
La1 La 0.500 0.500 0.500
S1 S 0.000 0.500 0.000
S2 S 0.500 0.000 0.000
Mo1 Mo 0.000 0.000 0.000
```



14.
The following is a PBE-GGA calculation of a relaxed TaFeOs2 crystal, from the Alexandria database.

- E_form (eV/f.u.) = 0.2

Structure (CIF):
```
data_TaFeOs2
_space_group_name_H-M_alt 'P 1'
_space_group_IT_number 1
_cell_length_a 2.775
_cell_length_b 2.775
_cell_length_c 7.504
_cell_angle_alpha 90.00
_cell_angle_beta 90.00
_cell_angle_gamma 90.00
loop_
_space_group_symop_operation_xyz
'x,y,z'
loop_
_atom_site_label
_atom_site_type_symbol
_atom_site_fract_x
_atom_site_fract_y
_atom_site_fract_z
Fe1 Fe 0.500 0.500 0.750
Ta1 Ta 0.500 0.500 0.250
Os1 Os 0.000 0.000 0.970
Os2 Os 0.000 0.000 0.530
```



15.
The following is a PBE-GGA calculation of a relaxed Tb2NdErSb4 crystal, from the Alexandria database.

- uncorrected energy (eV per atom) = -5.524

Structure (CIF):
```
data_Tb2NdErSb4
_space_group_name_H-M_alt 'P 1'
_space_group_IT_number 1
_cell_length_a 4.424
_cell_length_b 7.660
_cell_length_c 7.656
_cell_angle_alpha 70.52
_cell_angle_beta 90.00
_cell_angle_gamma 90.00
loop_
_space_group_symop_operation_xyz
'x,y,z'
loop_
_atom_site_label
_atom_site_type_symbol
_atom_site_fract_x
_atom_site_fract_y
_atom_site_fract_z
Sb1 Sb 0.500 0.250 0.745
Nd1 Nd 0.500 0.500 0.000
Tb1 Tb 0.000 0.000 0.000
Sb2 Sb 0.000 0.246 0.256
Er1 Er 0.000 0.500 0.500
Sb3 Sb 0.000 0.754 0.744
Tb2 Tb 0.500 0.000 0.500
Sb4 Sb 0.500 0.750 0.255
```



16.
The following is a PBE-GGA calculation of a relaxed ScRu2Rh crystal, from the Alexandria database.

- E_form (eV/f.u.) = -0.7

Structure (CIF):
```
data_ScRu2Rh
_space_group_name_H-M_alt 'P 1'
_space_group_IT_number 1
_cell_length_a 4.774
_cell_length_b 4.774
_cell_length_c 2.820
_cell_angle_alpha 90.00
_cell_angle_beta 90.00
_cell_angle_gamma 109.71
loop_
_space_group_symop_operation_xyz
'x,y,z'
loop_
_atom_site_label
_atom_site_type_symbol
_atom_site_fract_x
_atom_site_fract_y
_atom_site_fract_z
Rh1 Rh 0.000 0.500 0.500
Sc1 Sc 0.500 0.000 0.500
Ru1 Ru 0.000 0.000 0.000
Ru2 Ru 0.500 0.500 0.000
```



17.
The following is a PBE-GGA calculation of a relaxed Tm3Th3InTc2 crystal, from the Alexandria database.

- E_form (eV/f.u.) = -0.5

Structure (CIF):
```
data_Tm3Th3InTc2
_space_group_name_H-M_alt 'P 1'
_space_group_IT_number 1
_cell_length_a 4.393
_cell_length_b 7.848
_cell_length_c 7.848
_cell_angle_alpha 120.00
_cell_angle_beta 90.00
_cell_angle_gamma 90.00
loop_
_space_group_symop_operation_xyz
'x,y,z'
loop_
_atom_site_label
_atom_site_type_symbol
_atom_site_fract_x
_atom_site_fract_y
_atom_site_fract_z
Tc1 Tc 0.500 0.667 0.333
Th1 Th 0.000 0.577 0.577
Tc2 Tc 0.500 0.333 0.667
Tm1 Tm 0.500 0.265 0.265
In1 In 0.000 0.000 0.000
Tm2 Tm 0.500 0.735 0.000
Tm3 Tm 0.500 0.000 0.735
Th2 Th 0.000 0.000 0.423
Th3 Th 0.000 0.423 0.000
```



18.
The following is a PBE-GGA calculation of a relaxed Ho4Tl2Sb crystal, from the Alexandria database.

- uncorrected energy (eV per atom) = -4.392

Structure (CIF):
```
data_Ho4Tl2Sb
_space_group_name_H-M_alt 'P 1'
_space_group_IT_number 1
_cell_length_a 8.025
_cell_length_b 8.022
_cell_length_c 8.024
_cell_angle_alpha 109.56
_cell_angle_beta 109.58
_cell_angle_gamma 109.27
loop_
_space_group_symop_operation_xyz
'x,y,z'
loop_
_atom_site_label
_atom_site_type_symbol
_atom_site_fract_x
_atom_site_fract_y
_atom_site_fract_z
Ho1 Ho 0.376 0.483 0.252
Ho2 Ho 0.874 0.626 0.607
Tl1 Tl 0.625 0.252 0.127
Sb1 Sb 0.250 0.750 0.500
Tl2 Tl 0.125 0.498 0.873
Ho3 Ho 0.876 0.624 0.107
Tl3 Tl 0.502 0.375 0.627
Sb2 Sb 0.000 0.000 0.000
Tl4 Tl 0.748 0.875 0.373
Ho4 Ho 0.018 0.267 0.393
Ho5 Ho 0.232 0.125 0.748
Ho6 Ho 0.374 0.981 0.248
Ho7 Ho 0.733 0.126 0.752
Ho8 Ho 0.517 0.768 0.893
```



19.
The following is a PBE-GGA calculation of a relaxed Pm5GePb4 crystal, from the Alexandria database.

- E_form (eV/f.u.) = -5.4

Structure (CIF):
```
data_Pm5GePb4
_space_group_name_H-M_alt 'P 1'
_space_group_IT_number 1
_cell_length_a 3.543
_cell_length_b 3.543
_cell_length_c 22.767
_cell_angle_alpha 90.00
_cell_angle_beta 90.00
_cell_angle_gamma 90.00
loop_
_space_group_symop_operation_xyz
'x,y,z'
loop_
_atom_site_label
_atom_site_type_symbol
_atom_site_fract_x
_atom_site_fract_y
_atom_site_fract_z
Pb1 Pb 0.000 0.000 0.602
Ge1 Ge 0.000 0.000 0.000
Pb2 Pb 0.000 0.000 0.398
Pm1 Pm 0.500 0.500 0.500
Pb3 Pb 0.000 0.000 0.808
Pb4 Pb 0.000 0.000 0.192
Pm2 Pm 0.500 0.500 0.085
Pm3 Pm 0.500 0.500 0.704
Pm4 Pm 0.500 0.500 0.296
Pm5 Pm 0.500 0.500 0.915
```



20.
The following is a PBE-GGA calculation of a relaxed Dy2MgRh crystal, from the Alexandria database.

- E_form (eV/f.u.) = -2.0

Structure (CIF):
```
data_Dy2MgRh
_space_group_name_H-M_alt 'P 1'
_space_group_IT_number 1
_cell_length_a 3.532
_cell_length_b 3.532
_cell_length_c 7.656
_cell_angle_alpha 90.00
_cell_angle_beta 90.00
_cell_angle_gamma 90.00
loop_
_space_group_symop_operation_xyz
'x,y,z'
loop_
_atom_site_label
_atom_site_type_symbol
_atom_site_fract_x
_atom_site_fract_y
_atom_site_fract_z
Rh1 Rh 0.500 0.500 0.000
Dy1 Dy 0.000 0.000 0.789
Mg1 Mg 0.500 0.500 0.500
Dy2 Dy 0.000 0.000 0.211
```